This record from Alexandria describes an optimized crystal structure of KIn4Br. The functional is PBEsol.

Properties
- uncorrected formation energy (meV/atom) = -149
- total moment (μB/cell) = 0.00
- ρ (g/cm³) = 5.48

a = 6.280 Å, b = 6.280 Å, c = 6.280 Å
α = 60.00°, β = 60.00°, γ = 60.00°
Element x y z (fractional)
K: 0.000 0.000 0.000
In: 0.375 0.375 0.375
In: 0.375 0.375 0.875
In: 0.375 0.875 0.375
In: 0.875 0.375 0.375
Br: 0.750 0.750 0.750